Entry 1:
# BeTc3Pt, relaxed, DFT PBE-GGA
data_BeTc3Pt
_symmetry_space_group_name_H-M 'P 1'
_symmetry_Int_Tables_number 1
_symmetry_space_group_name_Hall 'P 1'
_cell_length_a 4.112
_cell_length_b 4.112
_cell_length_c 4.112
_cell_angle_alpha 90.00
_cell_angle_beta 90.00
_cell_angle_gamma 90.00
loop_
_atom_site_label
_atom_site_fract_x
_atom_site_fract_y
_atom_site_fract_z
_atom_site_occupancy
Be1 0.000 0.000 0.000 1
Tc1 0.000 0.500 0.000 1
Tc2 0.000 0.000 0.500 1
Tc3 0.500 0.000 0.000 1
Pt1 0.500 0.500 0.500 1
# energy above the most stable polymorph in this dataset: 0.0000 eV/atom
# total energy: -38.6 eV for the cell shown
# DOS at the Fermi energy: 6.91 states/eV per cell
# ΔH_f (0 K): 451 meV/atom
# volume: 69.5 Å³ per cell

Entry 2:
# DyTmSnTe, relaxed, DFT PBE-GGA
data_DyTmSnTe
_symmetry_space_group_name_H-M 'P 1'
_symmetry_Int_Tables_number 1
_symmetry_space_group_name_Hall 'P 1'
_cell_length_a 4.365
_cell_length_b 4.365
_cell_length_c 7.596
_cell_angle_alpha 73.30
_cell_angle_beta 73.30
_cell_angle_gamma 60.00
loop_
_atom_site_label
_atom_site_fract_x
_atom_site_fract_y
_atom_site_fract_z
_atom_site_occupancy
Dy1 0.439 0.439 0.682 1
Tm1 0.949 0.949 0.153 1
Sn1 0.693 0.693 0.921 1
Te1 0.195 0.195 0.414 1
# uncorrected formation energy: -1.004 eV/atom
# total energy: -20.2 eV for the cell shown
# DOS at the Fermi energy: 1.07 states/eV per cell
# volume: 118.2 Å³ per cell

Entry 3:
# Sr2SiAg, relaxed, DFT PBE-GGA
data_Sr2SiAg
_symmetry_space_group_name_H-M 'P 1'
_symmetry_Int_Tables_number 1
_symmetry_space_group_name_Hall 'P 1'
_cell_length_a 4.091
_cell_length_b 5.063
_cell_length_c 6.453
_cell_angle_alpha 90.00
_cell_angle_beta 90.00
_cell_angle_gamma 90.00
loop_
_atom_site_label
_atom_site_fract_x
_atom_site_fract_y
_atom_site_fract_z
_atom_site_occupancy
Ag1 0.000 0.000 0.377 1
Si1 0.500 0.500 0.873 1
Sr1 0.000 0.000 0.876 1
Sr2 0.500 0.500 0.373 1
# uncorrected formation energy: -0.087 eV/atom
# total energy: -12.0 eV for the cell shown
# DOS at the Fermi energy: 2.35 states/eV per cell
# volume: 133.6 Å³ per cell